{"formula": "YPPdO", "functional": "GGA-PBE", "state": "optimized geometry", "magmom_total_mub_per_cell": 0.005, "e_above_lowest_polymorph_mev_per_atom": 500, "lattice_angstrom": [[-2.001, 0.837, -2.803], [5.239, -2.987, -4.633], [-2.515, -4.917, 0.327]], "species": ["Y", "Y", "P", "P", "Pd", "Pd", "O", "O"], "frac_coords": [[0.500, 0.725, 0.943], [0.500, 0.275, 0.443], [0.500, 0.909, 0.442], [0.500, 0.091, 0.942], [0.000, 0.718, 0.441], [0.000, 0.282, 0.941], [0.000, 0.422, 0.428], [0.000, 0.578, 0.928]]}

***

{"formula": "YPPdO", "functional": "GGA-PBE", "state": "optimized geometry", "magmom_total_mub_per_cell": 0.002, "e_above_lowest_polymorph_mev_per_atom": 755, "lattice_angstrom": [[-5.008, 2.000, 1.434], [-0.969, -4.592, 3.019], [1.838, 1.999, 3.631]], "species": ["O", "O", "Pd", "Pd", "P", "P", "Y", "Y"], "frac_coords": [[0.500, 0.500, 0.000], [0.000, 0.000, 0.000], [0.500, 0.000, 0.999], [0.000, 0.500, 0.001], [0.500, 0.000, 0.499], [0.000, 0.500, 0.501], [0.000, 0.000, 0.500], [0.500, 0.500, 0.500]]}

***

{"formula": "ZrPPdO", "functional": "GGA-PBE", "state": "optimized geometry", "magmom_total_mub_per_cell": 0.004, "e_above_lowest_polymorph_mev_per_atom": 307, "lattice_angstrom": [[-0.302, -4.135, -1.377], [3.091, -1.357, 3.396], [-4.373, -0.887, 3.625]], "species": ["Zr", "Zr", "O", "O", "Pd", "Pd", "P", "P"], "frac_coords": [[0.000, 0.288, 0.595], [0.000, 0.712, 0.095], [0.000, 0.916, 0.414], [0.000, 0.084, 0.914], [0.500, 0.896, 0.444], [0.500, 0.104, 0.944], [0.500, 0.603, 0.802], [0.500, 0.397, 0.302]]}